PBE with a Hubbard U SrMnN2O, optimized geometry; DOS(E_F) = 1.61 states/eV per cell; E = -6.50 eV/atom
1.0
3.861 0.000 0.000
0.000 3.861 0.000
0.000 0.000 4.197
Sr Mn N O
1 1 2 1
Cartesian
0.000 0.000 0.000
1.931 1.931 2.099
0.000 1.931 2.099
1.931 0.000 2.099
1.931 1.931 0.000